No. 1
Nd2TmC2I2: optimized geometry, PBE.

Output
VASP energy: -0.206 hartree per atom
SG: No. 139

a = 10.4344 Å, b = 10.4344 Å, c = 10.4344 Å
α = 155.23°, β = 155.23°, γ = 35.31°
Last column: nearest neighbours and their distance in Å.
Fractional positions:
Nd: 0.0793 0.0793 0.0000  4 C 2.74
Nd: 0.9207 0.9207 0.0000  4 C 2.74
Tm: 0.5000 0.5000 0.0000  4 C 2.24
C: 0.0000 0.5000 0.5000  2 Tm 2.24
C: 0.5000 0.0000 0.5000  2 Tm 2.24
I: 0.3374 0.3374 0.0000  1 Tm 3.23, 4 Nd 3.57
I: 0.6626 0.6626 0.0000  1 Tm 3.23, 4 Nd 3.57

---

No. 2
NdYCI: optimized geometry, PBE.

Output
VASP energy: -0.229 hartree per atom
SG: No. 160

a = 7.9318 Å, b = 7.9318 Å, c = 7.9318 Å
α = 27.91°, β = 27.91°, γ = 27.91°
Last column: nearest neighbours and their distance in Å.
Fractional positions:
Nd: 0.0000 0.0000 0.0000  3 C 2.63
Y: 0.2185 0.2185 0.2185  3 C 2.51
C: 0.6040 0.6040 0.6040  3 Y 2.51, 3 Nd 2.63
I: 0.7798 0.7798 0.7798  3 Y 3.27, 3 Nd 3.40

---

Copy entry 2 word for word.
NdYCI: optimized geometry, PBE.

Output
VASP energy: -0.229 hartree per atom
SG: No. 160

a = 7.9318 Å, b = 7.9318 Å, c = 7.9318 Å
α = 27.91°, β = 27.91°, γ = 27.91°
Last column: nearest neighbours and their distance in Å.
Fractional positions:
Nd: 0.0000 0.0000 0.0000  3 C 2.63
Y: 0.2185 0.2185 0.2185  3 C 2.51
C: 0.6040 0.6040 0.6040  3 Y 2.51, 3 Nd 2.63
I: 0.7798 0.7798 0.7798  3 Y 3.27, 3 Nd 3.40

---

Q: Number 2 is which compound?
A: NdYCI